! MnCo2HW | Alexandria | PBE-GGA | optimized geometry; values from VASP
! Total DFT energy (no corrections) in eV per atom: -7.97
&SYSTEM
  ibrav = 0, nat = 5, ntyp = 4
/
ATOMIC_SPECIES
H 1.01 H.upf
Mn 54.94 Mn.upf
Co 58.93 Co.upf
W 183.84 W.upf
ATOMIC_POSITIONS crystal
H 0.000 0.000 0.000
Mn 0.000 0.000 0.500
Co 0.000 0.500 0.000
Co 0.500 0.000 0.000
W 0.500 0.500 0.500
CELL_PARAMETERS angstrom
3.627 0.000 0.000
0.000 3.627 0.000
0.000 0.000 3.744

! LaPr2TmTl4 | Alexandria | PBE-GGA | optimized geometry; values from VASP
! DFT formation energy in meV/atom: -364
&SYSTEM
  ibrav = 0, nat = 8, ntyp = 4
/
ATOMIC_SPECIES
La 138.91 La.upf
Pr 140.91 Pr.upf
Tm 168.93 Tm.upf
Tl 204.38 Tl.upf
ATOMIC_POSITIONS crystal
La 0.000 0.000 0.000
Pr 0.752 0.752 0.745
Pr 0.248 0.248 0.255
Tm 0.500 0.500 0.500
Tl 0.377 0.377 0.868
Tl 0.873 0.873 0.381
Tl 0.127 0.127 0.619
Tl 0.623 0.623 0.132
CELL_PARAMETERS angstrom
-0.230 -4.547 -3.111
3.679 -0.769 -4.035
6.651 -6.036 3.445